Material: ScCS2
Method: DFT, SCAN
State: PBEsol geometry

Results
spin magnetization = 0.001 Bohr magnetons per cell
energy relative to the elements, uncorrected = 117 kJ/mol of formula units
uncorrected energy = -169.5 eV/cell

abc: 5.1539 5.1539 10.1727
angles: 90.00 90.00 90.00
Last column: nearest neighbours and their distance in Å.
Space group I-42d (No. 122)
Inequivalent atoms, fractional coordinates:
Sc: 0.0000 0.0000 0.0000 x4  4 S 2.50
C: 0.0000 0.0000 0.5000 x4  4 S 2.00
S: 0.1654 0.2500 0.6250 x8  2 C 2.00